A relaxed structure of GaCu. Source: Alexandria via LeMat-Bulk, functional PBE.

The space group is P-6m2 (No. 187) and the conventional cell measures 2.8465, 2.8465 and 4.0407 Å, with angles of 90.00, 90.00 and 120.00 degrees. The asymmetric unit holds Ga at (0.0000, 0.0000, 0.0000) and Cu at (0.3333, 0.6667, 0.5000).

The size of the total moment is 0.0 μB/cell. The calculation puts the energy of formation from the pure elements at -0.045 eV/atom. Its total energy is -7.2 eV per cell. As for the density of states at the Fermi level: 0.4 states/eV/cell.

***

A relaxed structure of Sc2IrRh. Source: Alexandria via LeMat-Bulk, functional PBE.

The space group is P4/mmm (No. 123) and the conventional cell measures 4.595, 4.595 and 3.190 Å, with angles of 90.00, 90.00 and 90.00 degrees. The asymmetric unit holds Sc at (0.000, 0.500, 0.000), Ir at (0.000, 0.000, 0.500) and Rh at (0.500, 0.500, 0.500).

The size of the total moment is 0.0 μB/cell. The calculation puts the energy of formation from the pure elements at -1.026 eV/atom. Its total energy is -33.0 eV per cell. As for the density of states at the Fermi level: 1.7 states/eV/cell. The energy above the most stable polymorph in this dataset comes out at 14 meV per atom.

***

A relaxed structure of NdHoTm14. Source: Alexandria via LeMat-Bulk, functional PBE.

The space group is Amm2 (No. 38) and the conventional cell measures 11.307, 7.046 and 12.193 Å, with angles of 90.00, 90.00 and 90.00 degrees. The asymmetric unit holds Nd at (0.000, 0.000, 0.000), Ho at (0.000, 0.000, 0.500), Tm at (0.000, 0.250, 0.250), Tm at (0.250, 0.000, 0.667), Tm at (0.252, 0.000, 0.167), Tm at (0.253, 0.250, 0.417), Tm at (0.500, 0.000, 0.334), Tm at (0.500, 0.000, 0.834) and Tm at (0.500, 0.250, 0.084).

The size of the total moment is 0.0 μB/cell. The calculation puts the energy of formation from the pure elements at 0.011 eV/atom. Its total energy is -143.5 eV per cell. As for the density of states at the Fermi level: 45.2 states/eV/cell.

***

A relaxed structure of ZrSi2Rh. Source: Alexandria via LeMat-Bulk, functional PBE.

The space group is Fm-3m (No. 225) and the conventional cell measures 6.299, 6.299 and 6.299 Å, with angles of 90.00, 90.00 and 90.00 degrees. The asymmetric unit holds Zr at (0.000, 0.000, 0.000), Si at (0.250, 0.250, 0.250) and Rh at (0.000, 0.000, 0.500).

The size of the total moment is 0.0 μB/cell. Its total energy is -113.2 eV per cell. As for the density of states at the Fermi level: 20.0 states/eV/cell. Its raw formation energy is -390 meV per atom.

***

A relaxed structure of Tm6Te3PRh2. Source: Alexandria via LeMat-Bulk, functional PBE.

The space group is C2/m (No. 12) and the conventional cell measures 7.106, 12.312 and 7.428 Å, with angles of 90.00, 108.78 and 90.00 degrees. The asymmetric unit holds Tm at (0.234, 0.000, 0.207), Tm at (0.237, 0.332, 0.206), Te at (0.000, 0.000, 0.500), Te at (0.000, 0.335, 0.500), P at (0.000, 0.500, 0.000) and Rh at (0.000, 0.167, 0.000).

The size of the total moment is 0.0 μB/cell. Its total energy is -140.4 eV per cell. As for the density of states at the Fermi level: 12.8 states/eV/cell. Its raw formation energy is -1154 meV per atom.

***

A relaxed structure of TlSbRu. Source: Alexandria via LeMat-Bulk, functional PBE.

The space group is I4mm (No. 107) and the conventional cell measures 3.222, 3.222 and 13.044 Å, with angles of 90.00, 90.00 and 90.00 degrees. The asymmetric unit holds Tl at (0.000, 0.000, 0.000), Sb at (0.000, 0.000, 0.268) and Ru at (0.000, 0.000, 0.654).

The size of the total moment is 0.0 μB/cell. Its total energy is -30.7 eV per cell. As for the density of states at the Fermi level: 3.7 states/eV/cell. Its raw formation energy is 141 meV per atom. The energy above the most stable polymorph in this dataset comes out at 119 meV per atom.

***

A relaxed structure of KLaMn. Source: Alexandria via LeMat-Bulk, functional PBE.

The space group is I4mm (No. 107) and the conventional cell measures 3.635, 3.635 and 16.225 Å, with angles of 90.00, 90.00 and 90.00 degrees. The asymmetric unit holds K at (0.000, 0.000, 0.000), La at (0.000, 0.000, 0.270) and Mn at (0.000, 0.000, 0.661).

The size of the total moment is 6.3 μB/cell. The calculation puts the energy of formation from the pure elements at 0.538 eV/atom. Its total energy is -27.2 eV per cell. As for the density of states at the Fermi level: 4.5 states/eV/cell. The energy above the most stable polymorph in this dataset comes out at 0 meV per atom.

***

A relaxed structure of LaH2SO. Source: Alexandria via LeMat-Bulk, functional PBE.

The space group is P4/mmm (No. 123) and the conventional cell measures 4.483, 4.483 and 4.382 Å, with angles of 90.00, 90.00 and 90.00 degrees. The asymmetric unit holds La at (0.000, 0.000, 0.000), H at (0.000, 0.500, 0.000), S at (0.500, 0.500, 0.500) and O at (0.000, 0.000, 0.500).

The size of the total moment is 1.4 μB/cell. Its total energy is -21.5 eV per cell. As for the density of states at the Fermi level: 2.7 states/eV/cell.

***

A relaxed structure of Cs3AcCl6. Source: Alexandria via LeMat-Bulk, functional PBE.

The space group is C2/m (No. 12) and the conventional cell measures 14.533, 8.556 and 8.577 Å, with angles of 90.00, 123.60 and 90.00 degrees. The asymmetric unit holds Cs at (0.000, 0.000, 0.000), Cs at (0.246, 0.000, 0.717), Ac at (0.000, 0.500, 0.500), Cl at (0.074, 0.265, 0.352) and Cl at (0.218, 0.500, 0.844).

The size of the total moment is 0.0 μB/cell. Its total energy is -79.3 eV per cell. As for the density of states at the Fermi level: 0.0 states/eV/cell. Its raw formation energy is -2193 meV per atom. The energy above the most stable polymorph in this dataset comes out at 9 meV per atom.

***

A relaxed structure of TcBRh2C. Source: Alexandria via LeMat-Bulk, functional PBE.

The space group is P4/mmm (No. 123) and the conventional cell measures 4.736, 4.736 and 3.818 Å, with angles of 90.00, 90.00 and 90.00 degrees. The asymmetric unit holds Tc at (0.000, 0.000, 0.000), B at (0.500, 0.500, 0.500), Rh at (0.000, 0.500, 0.000) and C at (0.000, 0.000, 0.500).

The size of the total moment is 0.0 μB/cell. The calculation puts the energy of formation from the pure elements at 2.217 eV/atom. Its total energy is -29.9 eV per cell. As for the density of states at the Fermi level: 6.3 states/eV/cell.

***

A relaxed structure of CrMoC3. Source: Alexandria via LeMat-Bulk, functional PBE.

The space group is Pm-3m (No. 221) and the conventional cell measures 4.015, 4.015 and 4.015 Å, with angles of 90.00, 90.00 and 90.00 degrees. The asymmetric unit holds Cr at (0.000, 0.000, 0.000), Mo at (0.500, 0.500, 0.500) and C at (0.000, 0.500, 0.500).

The size of the total moment is 0.2 μB/cell. The calculation puts the energy of formation from the pure elements at 2.296 eV/atom. Its total energy is -36.6 eV per cell. As for the density of states at the Fermi level: 8.5 states/eV/cell. The energy above the most stable polymorph in this dataset comes out at 452 meV per atom.

***

A relaxed structure of Nd2UN4. Source: Alexandria via LeMat-Bulk, functional PBE.

The space group is Pbam (No. 55) and the conventional cell measures 6.019, 10.077 and 3.601 Å, with angles of 90.00, 90.00 and 90.00 degrees. The asymmetric unit holds Nd at (0.064, 0.177, 0.000), U at (0.000, 0.500, 0.500), N at (0.139, 0.688, 0.500) and N at (0.223, 0.456, 0.000).

The size of the total moment is 0.0 μB/cell. Its total energy is -128.9 eV per cell. Its raw formation energy is -1472 meV per atom.

***

A relaxed structure of SmGa4Pb. Source: Alexandria via LeMat-Bulk, functional PBE.

The space group is R3m (No. 160, hexagonal axes) and the conventional cell measures 5.6327, 5.6327 and 15.4124 Å, with angles of 90.00, 90.00 and 120.00 degrees. The asymmetric unit holds Sm at (0.0000, 0.0000, 0.0000), Ga at (0.0000, 0.0000, 0.6019), Ga at (0.1672, 0.3345, 0.8357) and Pb at (0.0000, 0.0000, 0.3715).

The size of the total moment is 0.0 μB/cell. The calculation puts the energy of formation from the pure elements at -0.130 eV/atom. Its total energy is -64.0 eV per cell. As for the density of states at the Fermi level: 11.1 states/eV/cell.

***

A relaxed structure of Zn2TcAu. Source: Alexandria via LeMat-Bulk, functional PBE.

The space group is I-42d (No. 122) and the conventional cell measures 7.023, 7.023 and 5.510 Å, with angles of 90.00, 90.00 and 90.00 degrees. The asymmetric unit holds Zn at (0.249, 0.750, 0.125), Tc at (0.000, 0.000, 0.500) and Au at (0.000, 0.000, 0.000).

The size of the total moment is 7.4 μB/cell. The calculation puts the energy of formation from the pure elements at 0.414 eV/atom. Its total energy is -58.1 eV per cell. As for the density of states at the Fermi level: 6.5 states/eV/cell. The energy above the most stable polymorph in this dataset comes out at 412 meV per atom.

***

A relaxed structure of Cs2Ir2I. Source: Alexandria via LeMat-Bulk, functional PBE.

The space group is I4/mmm (No. 139) and the conventional cell measures 3.698, 3.698 and 23.356 Å, with angles of 90.00, 90.00 and 90.00 degrees. The asymmetric unit holds Cs at (0.000, 0.000, 0.114), Ir at (0.000, 0.500, 0.250) and I at (0.000, 0.000, 0.500).

The size of the total moment is 0.0 μB/cell. Its total energy is -41.3 eV per cell. As for the density of states at the Fermi level: 7.2 states/eV/cell. Its raw formation energy is 62 meV per atom.

***

A relaxed structure of Pm3MgPb. Source: Alexandria via LeMat-Bulk, functional PBE.

The space group is C2/c (No. 15) and the conventional cell measures 12.109, 6.818 and 15.409 Å, with angles of 90.00, 97.39 and 90.00 degrees. The asymmetric unit holds Pm at (0.053, 0.106, 0.117), Pm at (0.187, 0.173, 0.792), Pm at (0.191, 0.340, 0.402), Mg at (0.056, 0.381, 0.581), Pb at (0.000, 0.466, 0.250) and Pb at (0.250, 0.250, 0.000).

The size of the total moment is 0.0 μB/cell. The calculation puts the energy of formation from the pure elements at -0.129 eV/atom. Its total energy is -161.6 eV per cell. As for the density of states at the Fermi level: 33.4 states/eV/cell.

***

A relaxed structure of ZrVCuS2. Source: Alexandria via LeMat-Bulk, functional PBE.

The space group is P4/mmm (No. 123) and the conventional cell measures 4.439, 4.439 and 4.544 Å, with angles of 90.00, 90.00 and 90.00 degrees. The asymmetric unit holds Zr at (0.000, 0.000, 0.000), V at (0.500, 0.500, 0.500), Cu at (0.500, 0.500, 0.000) and S at (0.000, 0.500, 0.500).

The size of the total moment is 0.9 μB/cell. Its total energy is -30.1 eV per cell. As for the density of states at the Fermi level: 4.4 states/eV/cell. Its raw formation energy is -7 meV per atom.

***

A relaxed structure of Pr2LuZn. Source: Alexandria via LeMat-Bulk, functional PBE.

The space group is Fm-3m (No. 225) and the conventional cell measures 7.703, 7.703 and 7.703 Å, with angles of 90.00, 90.00 and 90.00 degrees. The asymmetric unit holds Pr at (0.250, 0.250, 0.250), Lu at (0.000, 0.000, 0.000) and Zn at (0.000, 0.000, 0.500).

The size of the total moment is 0.0 μB/cell. The calculation puts the energy of formation from the pure elements at 0.001 eV/atom. Its total energy is -61.4 eV per cell. As for the density of states at the Fermi level: 16.9 states/eV/cell. The energy above the most stable polymorph in this dataset comes out at 123 meV per atom.

***

A relaxed structure of NpZn4Ir2. Source: Alexandria via LeMat-Bulk, functional PBE.

The space group is P4_2/mnm (No. 136) and the conventional cell measures 7.950, 7.950 and 3.795 Å, with angles of 90.00, 90.00 and 90.00 degrees. The asymmetric unit holds Np at (0.000, 0.000, 0.000), Zn at (0.099, 0.347, 0.500) and Ir at (0.176, 0.824, 0.500).

The size of the total moment is 6.2 μB/cell. The calculation puts the energy of formation from the pure elements at -0.239 eV/atom. Its total energy is -74.9 eV per cell. As for the density of states at the Fermi level: 16.4 states/eV/cell.

***

A relaxed structure of HgPt2S. Source: Alexandria via LeMat-Bulk, functional PBE.

The space group is I-42d (No. 122) and the conventional cell measures 4.929, 4.929 and 14.539 Å, with angles of 90.00, 90.00 and 90.00 degrees. The asymmetric unit holds Hg at (0.000, 0.000, 0.000), Pt at (0.124, 0.250, 0.625) and S at (0.000, 0.000, 0.500).

The size of the total moment is 0.0 μB/cell. Its total energy is -65.8 eV per cell. As for the density of states at the Fermi level: 2.8 states/eV/cell. Its raw formation energy is 14 meV per atom. The energy above the most stable polymorph in this dataset comes out at 0 meV per atom.